Computed, not measured: BaLiHoS3 after structural relaxation at the GGA-PBE level of DFT.

The energy above the most stable polymorph in this dataset is 0.10 eV/f.u. The raw total energy comes out at -0.3970 Ry/atom.

It has space group C2/m (No. 12), with a = 17.1319 Å, b = 4.0621 Å, c = 8.5627 Å, α = 90.00°, β = 103.90° and γ = 90.00°. The inequivalent atoms are Ba at (0.1365, 0.0000, 0.0665), Li at (0.0066, 0.5000, 0.6991), Ho at (0.1642, 0.0000, 0.5810), S at (0.0000, 0.0000, 0.5000), S at (0.0000, 0.5000, 0.0000), S at (0.1694, 0.5000, 0.7953) and S at (0.1696, 0.5000, 0.3669).

=====

Computed, not measured: BaSiGe2Pt after structural relaxation at the GGA-PBE level of DFT.

The raw total energy comes out at -0.3780 Ry/atom.

It has space group I4mm (No. 107), with a = 4.5868 Å, b = 4.5868 Å, c = 10.2006 Å, α = 90.00°, β = 90.00° and γ = 90.00°. The inequivalent atoms are Ba at (0.0000, 0.0000, 0.0000), Si at (0.0000, 0.0000, 0.6007), Ge at (0.0000, 0.5000, 0.2444) and Pt at (0.0000, 0.0000, 0.3599).